Record 1
Here is a relaxed CaCd crystal from the Alexandria database. Energies are from PBE.

Cell: 9.2695 9.2695 5.0620 Å, 90.00 90.00 120.00°
Fractional coordinates of all 12 atoms:
Cd 0.5590 0.1180 0.7500
Cd 0.5590 0.4410 0.7500
Cd 0.1180 0.5590 0.2500
Ca 0.1812 0.3624 0.7500
Cd 0.4410 0.5590 0.2500
Ca 0.3624 0.1812 0.2500
Ca 0.1812 0.8188 0.7500
Cd 0.8820 0.4410 0.7500
Cd 0.4410 0.8820 0.2500
Ca 0.8188 0.1812 0.2500
Ca 0.6376 0.8188 0.7500
Ca 0.8188 0.6376 0.2500

Energy relative to the elements (eV per atom): -0.249
Total magnetization (μB per atom): 0.000
Crystal system: hexagonal
Mass density (Mg/m³): 4.03
E (eV per atom): -1.7078

***

Record 2
Here is a relaxed RbNp3O10 crystal from the Alexandria database. Energies are from PBE.

Cell: 7.9456 7.9456 7.9456 Å, 60.00 60.00 60.00°
Fractional coordinates of all 28 atoms:
O 0.3190 0.0000 0.6810
O 0.0000 0.6810 0.3190
O 0.0000 0.6810 0.0000
O 0.0000 0.0000 0.6810
Np 0.2613 0.2613 0.7387
Np 0.7387 0.2613 0.2613
O 0.6115 0.6115 0.6115
O 0.6810 0.3190 0.0000
O 0.0000 0.3190 0.6810
Np 0.7387 0.7387 0.2613
O 0.3885 0.3885 0.3885
O 0.0000 0.0000 0.3190
O 0.1656 0.6115 0.6115
O 0.3885 0.8344 0.3885
O 0.6115 0.6115 0.1656
O 0.0000 0.3190 0.0000
O 0.6115 0.1656 0.6115
O 0.3190 0.0000 0.0000
O 0.3190 0.6810 0.0000
Np 0.2613 0.7387 0.2613
Rb 0.7500 0.7500 0.7500
Np 0.2613 0.7387 0.7387
O 0.8344 0.3885 0.3885
O 0.3885 0.3885 0.8344
Np 0.7387 0.2613 0.7387
O 0.6810 0.0000 0.0000
O 0.6810 0.0000 0.3190
Rb 0.2500 0.2500 0.2500

Uncorrected formation energy (meV/atom): -2364
Total magnetization (μB per atom): 0.143
Crystal system: cubic
Mass density (Mg/m³): 8.96
E (eV per atom): -8.7482

***

Record 3
Here is a relaxed K4GaAu8 crystal from the Alexandria database. Energies are from PBE.

Cell: 11.0600 11.0600 11.3189 Å, 83.51 83.51 29.65°
Fractional coordinates of all 26 atoms:
Au 0.8529 0.3538 0.3672
Au 0.0000 0.0000 0.0000
K 0.2245 0.2245 0.5917
K 0.9546 0.9546 0.3451
Au 0.8992 0.8992 0.8525
Au 0.1471 0.6462 0.6328
Au 0.1008 0.1008 0.1475
K 0.7152 0.7152 0.1053
Au 0.3538 0.8529 0.3672
K 0.2848 0.2848 0.8947
K 0.4849 0.4849 0.8336
Au 0.1239 0.6410 0.0769
Au 0.3590 0.8761 0.9231
Au 0.8761 0.3590 0.9231
Au 0.6462 0.1471 0.6328
Au 0.6243 0.6243 0.5732
Ga 0.6731 0.6731 0.7617
Au 0.6410 0.1239 0.0769
Au 0.7894 0.7894 0.7311
K 0.7755 0.7755 0.4083
K 0.0454 0.0454 0.6549
Ga 0.3269 0.3269 0.2383
Au 0.5000 0.5000 0.5000
Au 0.3757 0.3757 0.4268
Au 0.2106 0.2106 0.2689
K 0.5151 0.5151 0.1664

Energy relative to the elements (eV per atom): -0.352
Total magnetization (μB per atom): 0.000
Crystal system: monoclinic
Mass density (Mg/m³): 8.80
E (eV per atom): -2.9397

***

Record 4
Here is a relaxed RbMn2TeI crystal from the Alexandria database. Energies are from PBE.

Cell: 5.0761 9.6912 5.0761 Å, 90.00 90.00 90.00°
Fractional coordinates of all 5 atoms:
Mn 0.0000 0.0000 0.5000
I 0.0000 0.5000 0.0000
Mn 0.5000 0.0000 0.0000
Rb 0.5000 0.5000 0.5000
Te 0.0000 0.0000 0.0000

Uncorrected formation energy (meV/atom): 155
Total magnetization (μB per atom): 1.602
Crystal system: tetragonal
Mass density (Mg/m³): 2.99
E (eV per atom): -4.6444